Record 1
# Be3Co, relaxed, DFT GGA-PBE
data_Be3Co
_chemical_formula_sum 'Be9 Co3'
_symmetry_space_group_name_H-M 'R -3 m'
_symmetry_Int_Tables_number 166
_symmetry_space_group_name_Hall '-R 3 2"'
_cell_length_a 7.1831
_cell_length_b 7.1831
_cell_length_c 2.2942
_cell_angle_alpha 90.00
_cell_angle_beta 90.00
_cell_angle_gamma 120.00
loop_
_atom_site_label
_atom_site_type_symbol
_atom_site_fract_x
_atom_site_fract_y
_atom_site_fract_z
Be1 Be 0.0000 0.5000 0.0000
Co1 Co 0.0000 0.0000 0.0000
# - Total moment: 1.5 Bohr magnetons per cell
# - E: -56.4 eV for the cell shown
# - Calculated formation energy: -0.13 eV per atom

---

Record 2
# SrZnBi2P, relaxed, DFT GGA-PBE
data_SrZnBi2P
_chemical_formula_sum 'Sr1 Zn1 Bi2 P1'
_symmetry_space_group_name_H-M 'P 4/m m m'
_symmetry_Int_Tables_number 123
_symmetry_space_group_name_Hall '-P 4 2'
_cell_length_a 6.149
_cell_length_b 6.149
_cell_length_c 5.499
_cell_angle_alpha 90.00
_cell_angle_beta 90.00
_cell_angle_gamma 90.00
loop_
_atom_site_label
_atom_site_type_symbol
_atom_site_fract_x
_atom_site_fract_y
_atom_site_fract_z
Sr1 Sr 0.000 0.000 0.000
Zn1 Zn 0.500 0.500 0.500
Bi1 Bi 0.000 0.500 0.000
P1 P 0.000 0.000 0.500
# - Total moment: 0.0 Bohr magnetons per cell
# - E: -11.4 eV for the cell shown
# - Calculated formation energy: 0.94 eV per atom

---

Record 3
# Ni9GePt2, relaxed, DFT GGA-PBE
data_Ni9GePt2
_chemical_formula_sum 'Ni9 Ge1 Pt2'
_symmetry_space_group_name_H-M 'P 4/m m m'
_symmetry_Int_Tables_number 123
_symmetry_space_group_name_Hall '-P 4 2'
_cell_length_a 3.645
_cell_length_b 3.645
_cell_length_c 10.801
_cell_angle_alpha 90.00
_cell_angle_beta 90.00
_cell_angle_gamma 90.00
loop_
_atom_site_label
_atom_site_type_symbol
_atom_site_fract_x
_atom_site_fract_y
_atom_site_fract_z
Ni1 Ni 0.000 0.000 0.000
Ni2 Ni 0.000 0.000 0.328
Ni3 Ni 0.000 0.500 0.160
Ni4 Ni 0.000 0.500 0.500
Ge1 Ge 0.500 0.500 0.000
Pt1 Pt 0.500 0.500 0.332
# - Total moment: 4.9 Bohr magnetons per cell
# - E: -70.3 eV for the cell shown
# - Calculated formation energy: -0.13 eV per atom

---

Record 4
# ZrFeRu2, relaxed, DFT GGA-PBE
data_ZrFeRu2
_chemical_formula_sum 'Zr4 Fe4 Ru8'
_symmetry_space_group_name_H-M 'I -4 2 d'
_symmetry_Int_Tables_number 122
_symmetry_space_group_name_Hall 'I -4 2bw'
_cell_length_a 3.942
_cell_length_b 3.942
_cell_length_c 17.521
_cell_angle_alpha 90.00
_cell_angle_beta 90.00
_cell_angle_gamma 90.00
loop_
_atom_site_label
_atom_site_type_symbol
_atom_site_fract_x
_atom_site_fract_y
_atom_site_fract_z
Zr1 Zr 0.000 0.000 0.000
Fe1 Fe 0.000 0.000 0.500
Ru1 Ru 0.188 0.250 0.625
# - Total moment: 9.3 Bohr magnetons per cell
# - E: -136.0 eV for the cell shown
# - Calculated formation energy: 0.39 eV per atom